No. 1
Below is a geometry-optimized ScCd2Pb2 structure, with properties calculated at the PBE level.

Cell: 8.1121 8.1121 4.0349 Å, 90.00 90.00 90.00°
Last column: nearest neighbours and their distance in Å.
Space group P4/mbm (No. 127)
Asymmetric unit:
Sc 0.0000 0.0000 0.0000  4 Cd 3.20
Cd 0.1256 0.3744 0.0000  1 Cd 2.88, 6 Pb 3.02-3.21, 2 Sc 3.20
Pb 0.1782 0.6782 0.5000  6 Cd 3.02-3.21

## Properties
ΔE to the lowest computed polymorph = 0.0 meV per atom


No. 2
Below is a geometry-optimized Sr4UPa3P8 structure, with properties calculated at the PBE level.

Cell: 8.2495 8.2495 20.7809 Å, 90.00 90.00 120.00°
Last column: nearest neighbours and their distance in Å.
Space group R-3m (No. 166, hexagonal axes)
Asymmetric unit:
Sr 0.0000 0.0000 0.0000  6 P 3.09
Sr 0.0000 0.5000 0.0000  6 P 3.09-3.10
U 0.0000 0.0000 0.5000  6 P 2.82
Pa 0.0000 0.5000 0.5000  6 P 2.80-2.81
P 0.0000 0.0000 0.2383  3 Pa 2.81, 3 Sr 3.09
P 0.0014 0.5007 0.7619  2 Pa 2.80, 1 U 2.82, 3 Sr 3.09-3.10


No. 3
Below is a geometry-optimized AcLa6Y5 structure, with properties calculated at the PBE level.

Cell: 12.1342 11.1133 6.4059 Å, 90.00 100.27 90.00°
Last column: nearest neighbours and their distance in Å.
Space group C2/m (No. 12)
Asymmetric unit:
Ac 0.0000 0.0000 0.0000  6 La 3.70-3.72, 6 Y 3.72-3.74
La 0.2469 0.3326 0.7496  5 Y 3.62-3.71, 6 La 3.68-3.73, 1 Ac 3.70
La 0.2475 0.5000 0.2545  5 Y 3.63-3.70, 6 La 3.68-3.73, 1 Ac 3.72
Y 0.0000 0.1704 0.5000  6 La 3.62-3.71, 4 Y 3.66-3.79, 2 Ac 3.72
Y 0.0000 0.3362 0.0000  6 La 3.64-3.71, 5 Y 3.64-3.70, 1 Ac 3.74
Y 0.0000 0.5000 0.5000  6 La 3.63-3.64, 6 Y 3.66-3.68


Computed values of formation enthalpy at 0 K (unit: eV per formula unit) for the preceding records, in sequence: 0.17, -18.74, 0.22.